First-principles (GGA-PBE) data for a relaxed structure of CaYFeW2, as listed in Alexandria via LeMat-Bulk.

Cell and atoms, written as POSCAR:
```
CaYFeW2
1.0
4.796 0.000 0.000
0.000 4.476 0.000
0.000 0.000 4.796
Ca W Y Fe
1 2 1 1
Cartesian
0.000 0.000 0.000
0.000 0.000 2.398
2.398 0.000 0.000
2.398 2.238 2.398
0.000 2.238 0.000
```

Computed properties:
* raw total energy: -31.53 eV for the cell shown
* space group: P4/mmm, No. 123